KBeV: optimized geometry, PBE.

N(E_F), states/eV/f.u.: 2.53
Total moment, μB/f.u.: 0.00
Space group: No. 1
Formation energy, kJ/mol of formula units: 134
VASP energy, eV per atom: -4.18

abc: 3.878 11.682 3.879
angles: 80.70 60.04 90.51
Fractional positions:
V (0.257, 0.104, 0.744)
V (0.195, 0.930, 0.860)
Be (0.559, 0.017, 0.136)
Be (0.893, 0.017, 0.469)
K (0.777, 0.692, 0.684)
K (0.010, 0.342, 0.252)


KBeVZn2: optimized geometry, PBE.

N(E_F), states/eV/f.u.: 5.83
Total moment, μB/f.u.: 4.61
Space group: No. 123
Formation energy, kJ/mol of formula units: 969
VASP energy, eV per atom: -1.29

abc: 5.809 6.023 5.809
angles: 90.00 90.00 90.00
Site moments in Bohr magnetons follow the coordinates.
Fractional positions:
Zn (0.000, 0.000, 0.500)  -0.01
Zn (0.500, 0.000, 0.000)  -0.02
K (0.000, 0.000, 0.000)  -0.06
V (0.000, 0.500, 0.000)  -3.29
Be (0.500, 0.500, 0.500)  -0.01


KBe2W: optimized geometry, PBE.

N(E_F), states/eV/f.u.: 2.82
Total moment, μB/f.u.: 0.00
Space group: No. 122
Formation energy, kJ/mol of formula units: 620
VASP energy, eV per atom: -3.77

abc: 7.062 7.062 6.090
angles: 54.56 54.56 90.00
Fractional positions:
W (0.000, 0.000, 0.000)
W (0.750, 0.250, 0.500)
Be (0.040, 0.625, 0.250)
Be (0.710, 0.125, 0.250)
Be (0.375, 0.290, 0.750)
Be (0.875, 0.960, 0.750)
K (0.250, 0.750, 0.500)
K (0.500, 0.500, 0.000)


KBe2W: optimized geometry, PBE.

N(E_F), states/eV/f.u.: 2.08
Total moment, μB/f.u.: 0.00
Space group: No. 12
Formation energy, kJ/mol of formula units: 321
VASP energy, eV per atom: -4.54

abc: 4.440 4.440 6.937
angles: 83.90 83.90 34.41
Fractional positions:
K (0.750, 0.750, 0.750)
Be (0.507, 0.507, 0.376)
Be (0.993, 0.993, 0.124)
W (0.250, 0.250, 0.250)


Please write out number 4 again, unchanged.
KBe2W: optimized geometry, PBE.

N(E_F), states/eV/f.u.: 2.08
Total moment, μB/f.u.: 0.00
Space group: No. 12
Formation energy, kJ/mol of formula units: 321
VASP energy, eV per atom: -4.54

abc: 4.440 4.440 6.937
angles: 83.90 83.90 34.41
Fractional positions:
K (0.750, 0.750, 0.750)
Be (0.507, 0.507, 0.376)
Be (0.993, 0.993, 0.124)
W (0.250, 0.250, 0.250)


Q: The lowest N(E_F) belongs to which entry?
A: number 4